Entry i
This record from Alexandria describes an optimized crystal structure of DyTh2Ni6. The functional is PBE-GGA.

Unit cell a=7.0750 b=7.0750 c=3.7348 alpha=90.00 beta=90.00 gamma=120.00
Space group P6/mmm (No. 191)
One atom of each set of equivalent atoms:
Dy 0.0000 0.0000 0.0000 (multiplicity 1)
Th 0.3333 0.6667 0.0000 (multiplicity 2)
Ni 0.0000 0.3329 0.5000 (multiplicity 6)

Properties
As for the crystal system: hexagonal.

---

Entry ii
This record from Alexandria describes an optimized crystal structure of DyTh2Ni6. The functional is PBE-GGA.

Unit cell a=3.581 b=6.944 c=13.153 alpha=90.00 beta=90.00 gamma=90.00
Space group Immm (No. 71)
One atom of each set of equivalent atoms:
Dy 0.000 0.000 0.000 (multiplicity 2)
Th 0.000 0.500 0.146 (multiplicity 4)
Ni 0.000 0.181 0.500 (multiplicity 4)
Ni 0.000 0.316 0.330 (multiplicity 8)

Properties
As for the crystal system: orthorhombic.

---

Tell me which of them is the least stable. Sure, it is entry ii.

---

Entry i
This record from Alexandria describes an optimized crystal structure of Dy2TiNi. The functional is PBE-GGA.

Unit cell a=3.3707 b=3.3707 c=29.2661 alpha=90.00 beta=90.00 gamma=120.00
Space group R-3m (No. 166, hexagonal axes)
One atom of each set of equivalent atoms:
Dy 0.0000 0.0000 0.1020 (multiplicity 6)
Ti 0.0000 0.0000 0.0000 (multiplicity 3)
Ni 0.0000 0.0000 0.5000 (multiplicity 3)

Properties
As for the crystal system: trigonal.

---

Entry ii
This record from Alexandria describes an optimized crystal structure of Dy2TiNi. The functional is PBE-GGA.

Unit cell a=3.397 b=3.397 c=7.454 alpha=90.00 beta=90.00 gamma=90.00
Space group P4/mmm (No. 123)
One atom of each set of equivalent atoms:
Dy 0.000 0.000 0.220 (multiplicity 2)
Ti 0.500 0.500 0.500 (multiplicity 1)
Ni 0.500 0.500 0.000 (multiplicity 1)

Properties
As for the crystal system: tetragonal.

---

Tell me which of them is the least stable. Sure, it is entry i.

---

Entry i
This record from Alexandria describes an optimized crystal structure of DyTiNi. The functional is PBE-GGA.

Unit cell a=3.247 b=3.247 c=10.753 alpha=90.00 beta=90.00 gamma=90.00
Space group P4/mmm (No. 123)
One atom of each set of equivalent atoms:
Dy 0.000 0.000 0.160 (multiplicity 2)
Ti 0.500 0.500 0.375 (multiplicity 2)
Ni 0.000 0.000 0.500 (multiplicity 1)
Ni 0.500 0.500 0.000 (multiplicity 1)

Properties
As for the crystal system: tetragonal.

---

Entry ii
This record from Alexandria describes an optimized crystal structure of DyTiNi. The functional is PBE-GGA.

Unit cell a=4.318 b=4.318 c=6.260 alpha=90.00 beta=90.00 gamma=90.00
Space group P4/nmm (No. 129, origin choice 2)
One atom of each set of equivalent atoms:
Dy 0.250 0.250 0.128 (multiplicity 2)
Ti 0.250 0.750 0.500 (multiplicity 2)
Ni 0.250 0.250 0.690 (multiplicity 2)

Properties
As for the crystal system: tetragonal.

---

Tell me which of them is the least stable. Sure, it is entry i.

---

Entry i
This record from Alexandria describes an optimized crystal structure of Dy2TmNi. The functional is PBE-GGA.

Unit cell a=3.620 b=11.838 c=9.503 alpha=90.00 beta=90.00 gamma=90.00
Space group Cmcm (No. 63)
One atom of each set of equivalent atoms:
Dy 0.000 0.136 0.069 (multiplicity 8)
Tm 0.000 0.418 0.250 (multiplicity 4)
Ni 0.000 0.263 0.750 (multiplicity 4)

Properties
As for the crystal system: orthorhombic.

---

Entry ii
This record from Alexandria describes an optimized crystal structure of Dy2TmNi. The functional is PBE-GGA.

Unit cell a=3.444 b=3.444 c=8.505 alpha=90.00 beta=90.00 gamma=90.00
Space group P4/mmm (No. 123)
One atom of each set of equivalent atoms:
Dy 0.000 0.000 0.190 (multiplicity 2)
Tm 0.500 0.500 0.500 (multiplicity 1)
Ni 0.500 0.500 0.000 (multiplicity 1)

Properties
As for the crystal system: tetragonal.

---

Tell me which of them is the least stable. Sure, it is entry ii.

---

Entry i
This record from Alexandria describes an optimized crystal structure of Dy2TmNi. The functional is PBE-GGA.

Unit cell a=6.802 b=9.541 c=6.273 alpha=90.00 beta=90.00 gamma=90.00
Space group Pnma (No. 62)
One atom of each set of equivalent atoms:
Dy 0.180 0.066 0.178 (multiplicity 8)
Tm 0.035 0.250 0.641 (multiplicity 4)
Ni 0.109 0.750 0.950 (multiplicity 4)

Properties
As for the crystal system: orthorhombic.

---

Entry ii
This record from Alexandria describes an optimized crystal structure of Dy2TmNi. The functional is PBE-GGA.

Unit cell a=3.5549 b=3.5549 c=30.7695 alpha=90.00 beta=90.00 gamma=120.00
Space group R-3m (No. 166, hexagonal axes)
One atom of each set of equivalent atoms:
Dy 0.0000 0.0000 0.1103 (multiplicity 6)
Tm 0.0000 0.0000 0.0000 (multiplicity 3)
Ni 0.0000 0.0000 0.5000 (multiplicity 3)

Properties
As for the crystal system: trigonal.

---

Tell me which of them is the least stable. Sure, it is entry ii.

---

Entry i
This record from Alexandria describes an optimized crystal structure of DyTm2Ni. The functional is PBE-GGA.

Unit cell a=3.391 b=3.391 c=8.579 alpha=90.00 beta=90.00 gamma=90.00
Space group P4/mmm (No. 123)
One atom of each set of equivalent atoms:
Dy 0.000 0.000 0.000 (multiplicity 1)
Tm 0.500 0.500 0.314 (multiplicity 2)
Ni 0.000 0.000 0.500 (multiplicity 1)

Properties
As for the crystal system: tetragonal.

---

Entry ii
This record from Alexandria describes an optimized crystal structure of DyTm2Ni. The functional is PBE-GGA.

Unit cell a=3.7545 b=3.7545 c=26.3135 alpha=90.00 beta=90.00 gamma=120.00
Space group R3m (No. 160, hexagonal axes)
One atom of each set of equivalent atoms:
Dy 0.0000 0.0000 0.0000 (multiplicity 3)
Tm 0.0000 0.0000 0.5567 (multiplicity 3)
Tm 0.0000 0.0000 0.7724 (multiplicity 3)
Ni 0.0000 0.0000 0.1638 (multiplicity 3)

Properties
As for the crystal system: trigonal.

---

Tell me which of them is the least stable. Sure, it is entry ii.

---

Entry i
This record from Alexandria describes an optimized crystal structure of DyTm2Ni. The functional is PBE-GGA.

Unit cell a=3.588 b=11.891 c=9.442 alpha=90.00 beta=90.00 gamma=90.00
Space group Cmcm (No. 63)
One atom of each set of equivalent atoms:
Dy 0.000 0.081 0.250 (multiplicity 4)
Tm 0.000 0.363 0.070 (multiplicity 8)
Ni 0.000 0.238 0.750 (multiplicity 4)

Properties
As for the crystal system: orthorhombic.

---

Entry ii
This record from Alexandria describes an optimized crystal structure of DyTm2Ni. The functional is PBE-GGA.

Unit cell a=3.6113 b=3.6113 c=28.0077 alpha=90.00 beta=90.00 gamma=120.00
Space group R-3m (No. 166, hexagonal axes)
One atom of each set of equivalent atoms:
Dy 0.0000 0.0000 0.0000 (multiplicity 3)
Tm 0.0000 0.0000 0.2273 (multiplicity 6)
Ni 0.0000 0.0000 0.5000 (multiplicity 3)

Properties
As for the crystal system: trigonal.

---

Tell me which of them is the least stable. Sure, it is entry ii.

---

Entry i
This record from Alexandria describes an optimized crystal structure of DyTmNi2. The functional is PBE-GGA.

Unit cell a=6.707 b=6.707 c=6.707 alpha=90.00 beta=90.00 gamma=90.00
Space group Fm-3m (No. 225)
One atom of each set of equivalent atoms:
Dy 0.000 0.000 0.000 (multiplicity 4)
Tm 0.000 0.000 0.500 (multiplicity 4)
Ni 0.250 0.250 0.250 (multiplicity 8)

Properties
As for the crystal system: cubic.

---

Entry ii
This record from Alexandria describes an optimized crystal structure of DyTmNi2. The functional is PBE-GGA.

Unit cell a=4.162 b=3.719 c=10.105 alpha=90.00 beta=90.00 gamma=90.00
Space group Amm2 (No. 38)
One atom of each set of equivalent atoms:
Dy 0.000 0.000 0.000 (multiplicity 2)
Tm 0.500 0.000 0.279 (multiplicity 2)
Ni 0.000 0.000 0.714 (multiplicity 2)
Ni 0.500 0.000 0.569 (multiplicity 2)

Properties
As for the crystal system: orthorhombic.

---

Tell me which of them is the least stable. Sure, it is entry i.